Below is a geometry-optimized Pm2NdTlH structure, with properties calculated at the PBE level.

Values from the calculation:
density	8.52	Mg/m³
total DFT energy (no corrections)	-21.517	eV per formula unit
SG	No. 123

abc: 4.9819 5.0023 5.0023
angles: 90.00 90.00 90.00
Closest atoms and distances in Å follow each position.
Fractional coordinates of all 5 atoms:
Tl 0.5000 0.5000 0.5000  8 Pm 3.53, 4 Nd 3.54
Nd 0.5000 0.0000 0.0000  2 H 2.49
Pm 0.0000 0.5000 0.0000  2 H 2.50
Pm 0.0000 0.0000 0.5000  2 H 2.50
H 0.0000 0.0000 0.0000  2 Nd 2.49, 4 Pm 2.50